Entry 1:
# K2SrLa

A relaxed K2SrLa crystal (GGA-PBEsol, Alexandria).

Results
Energy relative to the lowest polymorph listed for this composition (eV/atom): 0.000

Cell lengths 3.9167, 3.9167, 14.2432 Å; angles 90.00, 90.00, 111.78 degrees
With the nearest neighbours (Å) after each atom.
Fractional positions:
1 K 0.0000 0.0000 0.0112  4 K 3.92, 2 Sr 4.32
2 K 0.5000 0.5000 0.7307  4 K 3.92, 2 La 4.12
3 La 0.0000 0.0000 0.4856  2 Sr 3.75, 4 La 3.92, 2 K 4.12
4 Sr 0.5000 0.5000 0.2725  2 La 3.75, 4 Sr 3.92



Entry 2:
# TlFeHg

A relaxed TlFeHg crystal (GGA-PBEsol, Alexandria).

Cell lengths 3.3109, 4.5572, 4.5572 Å; angles 120.00, 90.00, 90.00 degrees
With the nearest neighbours (Å) after each atom.
Fractional positions:
1 Fe 0.9504 0.0000 0.0000  3 Hg 2.72, 3 Tl 2.89
2 Tl 0.3088 0.6667 0.3333  3 Fe 2.89, 3 Hg 2.99
3 Hg 0.7408 0.3333 0.6667  3 Fe 2.72, 3 Tl 2.99



Entry 3:
# Sr2TlCu

A relaxed Sr2TlCu crystal (GGA-PBEsol, Alexandria).

Cell lengths 3.7752, 5.4159, 6.5092 Å; angles 114.29, 106.86, 90.00 degrees
With the nearest neighbours (Å) after each atom.
Fractional positions:
1 Tl 0.5503 0.5483 0.1007  2 Cu 2.72
2 Sr 0.7639 0.2645 0.5278  4 Cu 3.32-3.34, 2 Sr 3.50-3.51, 2 Tl 3.60-3.64
3 Sr 0.9619 0.9606 0.9238  2 Cu 3.28, 4 Tl 3.45, 2 Sr 3.50-3.51
4 Cu 0.2239 0.7266 0.4477  2 Tl 2.72



Entry 4:
# TaNiOs

A relaxed TaNiOs crystal (GGA-PBEsol, Alexandria).

Cell lengths 4.2519, 4.2519, 5.2744 Å; angles 90.00, 90.00, 120.00 degrees
With the nearest neighbours (Å) after each atom.
Fractional positions:
1 Ta 0.6667 0.3333 0.2500  5 Ni 2.45-2.64
2 Ta 0.3333 0.6667 0.7500  5 Ni 2.45-2.64
3 Os 0.0000 0.0000 0.0000  2 Os 2.64, 6 Ta 2.79, 6 Ni 2.79
4 Os 0.0000 0.0000 0.5000  2 Os 2.64, 6 Ta 2.79, 6 Ni 2.79
5 Ni 0.3333 0.6667 0.2500  5 Ta 2.45-2.64
6 Ni 0.6667 0.3333 0.7500  5 Ta 2.45-2.64



Entry 5:
# Tc2HgBr

A relaxed Tc2HgBr crystal (GGA-PBEsol, Alexandria).

Results
ΔE_f (raw) (meV/atom): 718
Energy relative to the lowest polymorph listed for this composition (eV/atom): 0.000

Cell lengths 3.2600, 4.6417, 6.1598 Å; angles 112.13, 105.34, 90.00 degrees
With the nearest neighbours (Å) after each atom.
Fractional positions:
1 Hg 0.2299 0.7299 0.4597  6 Tc 2.80-2.84
2 Tc 0.7317 0.2317 0.4634  2 Tc 2.27
3 Tc 0.0867 0.0867 0.1734  2 Tc 2.27
4 Br 0.4518 0.4518 0.9035  6 Tc 2.91-3.20



Entry 6:
# BaBr2

A relaxed BaBr2 crystal (GGA-PBEsol, Alexandria).

Results
ΔE_f (raw) (meV/atom): -2054

Cell lengths 4.2405, 5.9739, 8.4806 Å; angles 110.81, 90.00, 110.79 degrees
With the nearest neighbours (Å) after each atom.
Fractional positions:
1 Ba 0.4999 0.9998 0.7500  10 Br 3.42-3.53
2 Ba 0.5001 0.0002 0.2500  10 Br 3.42-3.53
3 Br 0.1583 0.3166 0.0791  5 Br 3.27-3.55, 5 Ba 3.42-3.53
4 Br 0.8417 0.6834 0.4207  5 Br 3.27-3.55, 5 Ba 3.42-3.53
5 Br 0.1583 0.3166 0.5793  5 Br 3.27-3.55, 5 Ba 3.42-3.53
6 Br 0.8417 0.6834 0.9209  5 Br 3.27-3.55, 5 Ba 3.42-3.53



Entry 7:
# RbReRh3

A relaxed RbReRh3 crystal (GGA-PBEsol, Alexandria).

Cell lengths 4.5980, 4.5980, 4.5980 Å; angles 90.00, 90.00, 90.00 degrees
With the nearest neighbours (Å) after each atom.
Fractional positions:
1 Rb 0.0000 0.0000 0.0000  6 Rh 2.30
2 Rh 0.0000 0.0000 0.5000  2 Rb 2.30
3 Rh 0.0000 0.5000 0.0000  2 Rb 2.30
4 Rh 0.5000 0.0000 0.0000  2 Rb 2.30
5 Re 0.5000 0.5000 0.5000  12 Rh 3.25



Entry 8:
# AlZnFe2

A relaxed AlZnFe2 crystal (GGA-PBEsol, Alexandria).

Cell lengths 3.6167, 3.6167, 4.4943 Å; angles 113.73, 113.73, 90.00 degrees
With the nearest neighbours (Å) after each atom.
Fractional positions:
1 Fe 0.7500 0.2500 0.5000  4 Fe 2.56, 4 Al 2.59, 4 Zn 2.59
2 Fe 0.2500 0.7500 0.5000  4 Fe 2.56, 4 Al 2.59, 4 Zn 2.59
3 Zn 0.5000 0.5000 0.0000  4 Al 2.56, 8 Fe 2.59
4 Al 0.0000 0.0000 0.0000  4 Zn 2.56, 8 Fe 2.59



Entry 9:
# Ti3Ga

A relaxed Ti3Ga crystal (GGA-PBEsol, Alexandria).

Cell lengths 4.5891, 5.6163, 5.6163 Å; angles 120.00, 90.00, 90.00 degrees
With the nearest neighbours (Å) after each atom.
Fractional positions:
1 Ti 0.2500 0.3402 0.1701  8 Ti 2.75-2.87, 4 Ga 2.79-2.81
2 Ti 0.7500 0.1701 0.3402  8 Ti 2.75-2.87, 4 Ga 2.79-2.81
3 Ti 0.2500 0.8299 0.1701  8 Ti 2.75-2.87, 4 Ga 2.79-2.81
4 Ti 0.7500 0.6598 0.8299  8 Ti 2.75-2.87, 4 Ga 2.79-2.81
5 Ti 0.7500 0.1701 0.8299  8 Ti 2.75-2.87, 4 Ga 2.79-2.81
6 Ti 0.2500 0.8299 0.6598  8 Ti 2.75-2.87, 4 Ga 2.79-2.81
7 Ga 0.7500 0.6667 0.3333  12 Ti 2.79-2.81
8 Ga 0.2500 0.3333 0.6667  12 Ti 2.79-2.81



Entry 10:
# Ti2Pd3

A relaxed Ti2Pd3 crystal (GGA-PBEsol, Alexandria).

Cell lengths 4.5523, 4.6840, 7.4177 Å; angles 108.40, 90.00, 90.00 degrees
With the nearest neighbours (Å) after each atom.
Fractional positions:
1 Ti 0.2500 0.1161 0.7847  9 Pd 2.59-2.89
2 Ti 0.7500 0.8839 0.2153  9 Pd 2.59-2.89
3 Ti 0.2500 0.3315 0.2153  9 Pd 2.59-2.89
4 Ti 0.7500 0.6685 0.7847  9 Pd 2.59-2.89
5 Pd 0.7500 0.0955 0.6088  5 Ti 2.59-2.77, 5 Pd 2.75-2.80
6 Pd 0.2500 0.6997 0.0000  8 Ti 2.70-2.89, 4 Pd 2.75-2.95
7 Pd 0.7500 0.4867 0.3912  5 Ti 2.59-2.77, 5 Pd 2.75-2.80
8 Pd 0.2500 0.5133 0.6088  5 Ti 2.59-2.77, 5 Pd 2.75-2.80
9 Pd 0.2500 0.9045 0.3912  5 Ti 2.59-2.77, 5 Pd 2.75-2.80
10 Pd 0.7500 0.3003 0.0000  8 Ti 2.70-2.89, 4 Pd 2.75-2.95



Entry 11:
# Li2Si2NiO6

A relaxed Li2Si2NiO6 crystal (GGA-PBEsol, Alexandria).

Results
ΔE_f (raw) (meV/atom): -2157
Energy relative to the lowest polymorph listed for this composition (eV/atom): 0.053

Cell lengths 5.5735, 5.5735, 9.0836 Å; angles 89.89, 89.89, 117.91 degrees
With the nearest neighbours (Å) after each atom.
Fractional positions:
1 O 0.0000 0.0000 0.5000  2 Si 1.62
2 O 0.3652 0.1436 0.7858  1 Si 1.63
3 O 0.4807 0.7574 0.5915  1 Si 1.62
4 O 0.1436 0.3652 0.2858  1 Si 1.63
5 O 0.5193 0.2426 0.4085  1 Si 1.62
6 O 0.7574 0.4807 0.0915  1 Si 1.62
7 O 0.6348 0.8564 0.2142  1 Si 1.63
8 O 0.1271 0.8729 0.2500  2 Si 1.67
9 O 0.8564 0.6348 0.7142  1 Si 1.63
10 O 0.8729 0.1271 0.7500  2 Si 1.67
11 O 0.2426 0.5193 0.9085  1 Si 1.62
12 O 0.0000 0.0000 0.0000  2 Si 1.62
13 Li 0.2809 0.6129 0.1161  3 O 1.94-2.01
14 Li 0.6129 0.2809 0.6161  3 O 1.94-2.01
15 Li 0.7191 0.3871 0.8839  3 O 1.94-2.01
16 Li 0.3871 0.7191 0.3839  3 O 1.94-2.01
17 Si 0.2053 0.1353 0.3622  4 O 1.62-1.67
18 Si 0.1353 0.2053 0.8622  4 O 1.62-1.67
19 Si 0.7947 0.8647 0.6378  4 O 1.62-1.67
20 Si 0.8647 0.7947 0.1378  4 O 1.62-1.67
21 Ni 0.7558 0.2442 0.2500  4 O 1.95-1.97
22 Ni 0.2442 0.7558 0.7500  4 O 1.95-1.97



Entry 12:
# SrSb2As

A relaxed SrSb2As crystal (GGA-PBEsol, Alexandria).

Results
ΔE_f (raw) (meV/atom): -324

Cell lengths 4.5059, 4.5059, 6.0284 Å; angles 111.95, 111.95, 90.00 degrees
With the nearest neighbours (Å) after each atom.
Fractional positions:
1 Sb 0.7500 0.2500 0.5000  4 As 3.19, 4 Sb 3.41, 4 Sr 3.41
2 Sb 0.0000 0.0000 0.0000  4 Sr 3.19, 4 As 3.41, 4 Sb 3.41
3 Sr 0.5000 0.5000 0.0000  8 Sb 3.19-3.41, 4 As 3.41
4 As 0.2500 0.7500 0.5000  8 Sb 3.19-3.41, 4 Sr 3.41



Entry 13:
# Mg2AlTl

A relaxed Mg2AlTl crystal (GGA-PBEsol, Alexandria).

Cell lengths 4.3224, 4.3224, 5.5116 Å; angles 113.09, 113.09, 90.00 degrees
With the nearest neighbours (Å) after each atom.
Fractional positions:
1 Mg 0.0000 0.0000 0.0000  4 Tl 3.06, 4 Mg 3.15, 4 Al 3.15
2 Mg 0.7500 0.2500 0.5000  4 Al 3.06, 4 Tl 3.15, 4 Mg 3.15
3 Tl 0.5000 0.5000 0.0000  8 Mg 3.06-3.15, 4 Al 3.15
4 Al 0.2500 0.7500 0.5000  8 Mg 3.06-3.15, 4 Tl 3.15



Entry 14:
# MnInBr2

A relaxed MnInBr2 crystal (GGA-PBEsol, Alexandria).

Results
ΔE_f (raw) (meV/atom): 72
Energy relative to the lowest polymorph listed for this composition (eV/atom): 0.319

Cell lengths 5.1425, 5.1470, 5.1425 Å; angles 60.03, 90.00, 119.97 degrees
With the nearest neighbours (Å) after each atom.
Fractional positions:
1 Br 0.2500 0.5000 0.2500  4 In 3.15, 4 Mn 3.15
2 Br 0.7500 0.5000 0.7500  4 In 3.15, 4 Mn 3.15
3 Mn 0.0000 0.0000 0.0000  8 Br 3.15
4 In 0.5000 0.0000 0.5000  8 Br 3.15



Entry 15:
# In2SiSb

A relaxed In2SiSb crystal (GGA-PBEsol, Alexandria).

Results
ΔE_f (raw) (meV/atom): 275
Energy relative to the lowest polymorph listed for this composition (eV/atom): 0.003

Cell lengths 4.2867, 4.2867, 5.9252 Å; angles 111.21, 111.21, 90.00 degrees
With the nearest neighbours (Å) after each atom.
Fractional positions:
1 Sb 0.5000 0.5000 0.0000  4 Si 3.03, 8 In 3.33
2 In 0.7500 0.2500 0.5000  4 In 3.03, 4 Sb 3.33, 4 Si 3.33
3 In 0.2500 0.7500 0.5000  4 In 3.03, 4 Sb 3.33, 4 Si 3.33
4 Si 0.0000 0.0000 0.0000  4 Sb 3.03, 8 In 3.33



Entry 16:
# ZrTiBi2W

A relaxed ZrTiBi2W crystal (GGA-PBEsol, Alexandria).

Cell lengths 4.5803, 5.4771, 5.4771 Å; angles 90.00, 90.00, 90.00 degrees
With the nearest neighbours (Å) after each atom.
Fractional positions:
1 Zr 0.0000 0.0000 0.0000  2 Ti 2.29
2 Ti 0.5000 0.0000 0.0000  2 Zr 2.29
3 Bi 0.0000 0.0000 0.5000  2 Zr 2.74
4 Bi 0.0000 0.5000 0.0000  2 Zr 2.74
5 W 0.5000 0.5000 0.5000  8 Bi 3.57, 4 Ti 3.87



Entry 17:
# ZnWAu2

A relaxed ZnWAu2 crystal (GGA-PBEsol, Alexandria).

Cell lengths 2.7670, 4.0177, 5.6813 Å; angles 90.00, 90.00, 90.00 degrees
With the nearest neighbours (Å) after each atom.
Fractional positions:
1 W 0.5000 0.5000 0.0000  2 W 2.77, 8 Au 2.82, 2 Zn 2.84
2 Au 0.0000 0.0000 0.7522  4 Au 2.77-2.87, 4 W 2.82, 4 Zn 2.83
3 Au 0.0000 0.0000 0.2478  4 Au 2.77-2.87, 4 W 2.82, 4 Zn 2.83
4 Zn 0.5000 0.5000 0.5000  2 Zn 2.77, 8 Au 2.83, 2 W 2.84



Entry 18:
# Sr2TiMnO6

A relaxed Sr2TiMnO6 crystal (GGA-PBEsol, Alexandria).

Results
ΔE_f (raw) (meV/atom): -2747
Energy relative to the lowest polymorph listed for this composition (eV/atom): 0.022

Cell lengths 7.6805, 7.6805, 7.6805 Å; angles 90.00, 90.00, 90.00 degrees
With the nearest neighbours (Å) after each atom.
Fractional positions:
1 Mn 0.0000 0.5000 0.0000  6 O 1.88-1.93
2 Mn 0.5000 0.0000 0.0000  6 O 1.88-1.93
3 Mn 0.0000 0.0000 0.5000  6 O 1.88-1.93
4 Mn 0.0000 0.0000 0.0000  6 O 1.91
5 Sr 0.7531 0.2469 0.7531  12 O 2.68-2.75
6 Sr 0.2469 0.7531 0.2469  12 O 2.68-2.75
7 Sr 0.2469 0.2469 0.2469  12 O 2.68-2.75
8 Sr 0.2469 0.7531 0.7531  12 O 2.68-2.75
9 Sr 0.7531 0.7531 0.7531  12 O 2.68-2.75
10 Sr 0.7531 0.2469 0.2469  12 O 2.68-2.75
11 Sr 0.7531 0.7531 0.2469  12 O 2.68-2.75
12 Sr 0.2469 0.2469 0.7531  12 O 2.68-2.75
13 O 0.0000 0.5000 0.2449  1 Mn 1.88, 1 Ti 1.96
14 O 0.0000 0.0000 0.2492  2 Mn 1.91-1.93
15 O 0.0000 0.5000 0.7551  1 Mn 1.88, 1 Ti 1.96
16 O 0.7551 0.5000 0.0000  1 Mn 1.88, 1 Ti 1.96
17 O 0.5000 0.5000 0.2490  2 Ti 1.91-1.93
18 O 0.7508 0.0000 0.0000  2 Mn 1.91-1.93
19 O 0.0000 0.0000 0.7508  2 Mn 1.91-1.93
20 O 0.5000 0.0000 0.7551  1 Mn 1.88, 1 Ti 1.96
21 O 0.0000 0.7508 0.0000  2 Mn 1.91-1.93
22 O 0.5000 0.7551 0.0000  1 Mn 1.88, 1 Ti 1.96
23 O 0.2490 0.5000 0.5000  2 Ti 1.91-1.93
24 O 0.5000 0.5000 0.7510  2 Ti 1.91-1.93
25 O 0.2492 0.0000 0.0000  2 Mn 1.91-1.93
26 O 0.5000 0.7510 0.5000  2 Ti 1.91-1.93
27 O 0.7510 0.5000 0.5000  2 Ti 1.91-1.93
28 O 0.5000 0.2449 0.0000  1 Mn 1.88, 1 Ti 1.96
29 O 0.2449 0.5000 0.0000  1 Mn 1.88, 1 Ti 1.96
30 O 0.0000 0.7551 0.5000  1 Mn 1.88, 1 Ti 1.96
31 O 0.5000 0.2490 0.5000  2 Ti 1.91-1.93
32 O 0.2449 0.0000 0.5000  1 Mn 1.88, 1 Ti 1.96
33 O 0.7551 0.0000 0.5000  1 Mn 1.88, 1 Ti 1.96
34 O 0.0000 0.2449 0.5000  1 Mn 1.88, 1 Ti 1.96
35 O 0.5000 0.0000 0.2449  1 Mn 1.88, 1 Ti 1.96
36 O 0.0000 0.2492 0.0000  2 Mn 1.91-1.93
37 Ti 0.5000 0.5000 0.0000  6 O 1.91-1.96
38 Ti 0.5000 0.5000 0.5000  6 O 1.93
39 Ti 0.5000 0.0000 0.5000  6 O 1.91-1.96
40 Ti 0.0000 0.5000 0.5000  6 O 1.91-1.96



Entry 19:
# Ca2MoOs

A relaxed Ca2MoOs crystal (GGA-PBEsol, Alexandria).

Results
Energy relative to the lowest polymorph listed for this composition (eV/atom): 0.000

Cell lengths 3.8836, 3.8836, 4.9556 Å; angles 90.00, 90.00, 90.00 degrees
With the nearest neighbours (Å) after each atom.
Fractional positions:
1 Mo 0.5000 0.5000 0.5000  4 Os 2.75
2 Os 0.0000 0.0000 0.5000  4 Mo 2.75
3 Ca 0.0000 0.5000 0.0000  4 Ca 2.75
4 Ca 0.5000 0.0000 0.0000  4 Ca 2.75



Entry 20:
# LiCr2Os

A relaxed LiCr2Os crystal (GGA-PBEsol, Alexandria).

Cell lengths 2.5599, 3.7950, 4.9565 Å; angles 90.00, 90.00, 90.00 degrees
With the nearest neighbours (Å) after each atom.
Fractional positions:
1 Li 0.0000 0.0000 0.4955  6 Cr 2.48-2.58, 2 Li 2.56, 4 Os 2.62
2 Os 0.5000 0.5000 0.7522  6 Cr 2.46-2.59, 2 Os 2.56, 4 Li 2.62
3 Cr 0.0000 0.0000 0.9955  2 Li 2.48, 6 Cr 2.56-2.63, 4 Os 2.59
4 Cr 0.5000 0.5000 0.2568  2 Os 2.46-2.50, 6 Cr 2.56-2.63, 4 Li 2.58



Values of E, in order: -2.149; -3.451; -2.767; -10.666; -5.524; -4.017; -4.671; -6.014; -7.426; -7.518; -6.982; -4.340; -2.513; -4.049; -3.792; -6.229; -5.549; -8.073; -6.307; -8.222, all in eV/atom.
Values of M_tot, in order: 0.00; 2.82; 0.00; 0.00; 0.00; 0.00; 3.64; 4.06; 0.00; 0.00; 4.00; 0.00; 0.00; 4.67; 0.00; 3.25; 0.00; 11.94; 0.00; 0.30, all in Bohr magnetons per cell.